# TlV3Se2O12

A relaxed TlV3Se2O12 crystal (GGA-PBEsol, the Alexandria database).

The calculated volume comes out at 503.15 Å³ per cell. The total magnetization is 0.000 μB/cell. For the total energy, the calculation gives -265.08 eV for the cell shown.

Lattice parameters (Å, degrees): 7.0735 7.0735 11.6118 90.00 90.00 120.00
Last column: nearest neighbours and their distance in Å.
Atoms (fractional coordinates):
Tl: 0.3333 0.6667 0.0000  6 O 2.77-3.05
Tl: 0.6667 0.3333 0.5000  6 O 2.77-3.05
V: 0.1265 0.3337 0.3765  2 O 1.67-1.68
V: 0.2072 0.8735 0.3765  2 O 1.67-1.68
V: 0.3337 0.2072 0.8765  2 O 1.67-1.68
V: 0.6663 0.7928 0.3765  2 O 1.67-1.68
V: 0.7928 0.1265 0.8765  2 O 1.67-1.68
V: 0.8735 0.6663 0.8765  2 O 1.67-1.68
Se: 0.0000 0.0000 0.1562  3 O 1.73
Se: 0.0000 0.0000 0.6562  3 O 1.73
Se: 0.3333 0.6667 0.6006  3 O 1.72
Se: 0.6667 0.3333 0.1006  3 O 1.72
O: 0.0814 0.5407 0.3540  1 V 1.67
O: 0.1183 0.8639 0.2215  1 Se 1.73, 1 V 1.90
O: 0.1234 0.8732 0.9079  1 V 1.68
O: 0.1268 0.2501 0.9079  1 V 1.68
O: 0.1361 0.2544 0.2215  1 Se 1.73, 1 V 1.90
O: 0.1955 0.7839 0.5381  1 Se 1.72
O: 0.2161 0.4116 0.5381  1 Se 1.72
O: 0.2501 0.1234 0.4079  1 V 1.68
O: 0.2544 0.1183 0.7215  1 Se 1.73, 1 V 1.90
O: 0.4116 0.1955 0.0381  1 Se 1.72
O: 0.4593 0.5407 0.3540  1 V 1.67
O: 0.4593 0.9186 0.3540  1 V 1.67
O: 0.5407 0.0814 0.8540  1 V 1.67
O: 0.5407 0.4593 0.8540  1 V 1.67
O: 0.5884 0.8045 0.5381  1 Se 1.72
O: 0.7456 0.8817 0.2215  1 Se 1.73, 1 V 1.90
O: 0.7499 0.8766 0.9079  1 V 1.68
O: 0.7839 0.5884 0.0381  1 Se 1.72
O: 0.8045 0.2161 0.0381  1 Se 1.72
O: 0.8639 0.7456 0.7215  1 Se 1.73, 1 V 1.90
O: 0.8732 0.7499 0.4079  1 V 1.68
O: 0.8766 0.1268 0.4079  1 V 1.68
O: 0.8817 0.1361 0.7215  1 Se 1.73, 1 V 1.90
O: 0.9186 0.4593 0.8540  1 V 1.67